(1)
Below is crystalline GaCl3O at its relaxed geometry, with properties calculated at the PBE level.

Calculated values
- Distance to the lowest polymorph of the same formula: 0.00 kJ/mol of atoms
- Crystal system: cubic
- Symmetry: Pm-3m (221)
- DOS at the Fermi energy: 0.7635 states/eV/atom

a b c (Å): 4.8174 4.8174 4.8174
angles (deg): 90.00 90.00 90.00
With the nearest neighbours (Å) after each atom.
Fractional positions:
Ga  0.0000  0.0000  0.0000  6 Cl 2.41
Cl  0.0000  0.0000  0.5000  2 Ga 2.41
Cl  0.0000  0.5000  0.0000  2 Ga 2.41
Cl  0.5000  0.0000  0.0000  2 Ga 2.41
O  0.5000  0.5000  0.5000  12 Cl 3.41

=====

(2)
Below is crystalline BaTiFe2Br at its relaxed geometry, with properties calculated at the PBE level.

Calculated values
- Final energy: -18.003 eV per cell
- Crystal system: tetragonal
- Symmetry: P4/mmm (123)
- DOS at the Fermi energy: 2.0722 states/eV/atom

a b c (Å): 5.0412 5.0412 5.6880
angles (deg): 90.00 90.00 90.00
With the nearest neighbours (Å) after each atom.
Fractional positions:
Ba  0.0000  0.0000  0.0000  4 Fe 2.52
Ti  0.0000  0.0000  0.5000  2 Ba 2.84
Fe  0.0000  0.5000  0.0000  2 Ba 2.52
Fe  0.5000  0.0000  0.0000  2 Ba 2.52
Br  0.5000  0.5000  0.5000  4 Ti 3.56, 8 Fe 3.80

=====

(3)
Below is crystalline Cs3SbPt at its relaxed geometry, with properties calculated at the PBE level.

Calculated values
- Distance to the lowest polymorph of the same formula: 0.00 kJ/mol of atoms
- Crystal system: cubic
- Symmetry: Pm-3m (221)
- DOS at the Fermi energy: 1.1989 states/eV/atom

a b c (Å): 6.3662 6.3662 6.3662
angles (deg): 90.00 90.00 90.00
With the nearest neighbours (Å) after each atom.
Fractional positions:
Cs  0.0000  0.0000  0.5000  2 Pt 3.18
Cs  0.0000  0.5000  0.0000  2 Pt 3.18
Cs  0.5000  0.0000  0.0000  2 Pt 3.18
Sb  0.5000  0.5000  0.5000  12 Cs 4.50
Pt  0.0000  0.0000  0.0000  6 Cs 3.18

=====

(4)
Below is crystalline VCr6Re5 at its relaxed geometry, with properties calculated at the PBE level.

Calculated values
- Energy relative to the elements: -24 meV per atom
- Crystal system: monoclinic
- Symmetry: C2/m (12)
- DOS at the Fermi energy: 1.0045 states/eV/atom

a b c (Å): 6.6477 6.6477 5.9609
angles (deg): 90.03 90.03 143.07
With the nearest neighbours (Å) after each atom.
Fractional positions:
V  0.0000  0.0000  0.0000  8 Cr 2.53-2.56
Cr  0.1639  0.8360  0.2456  1 V 2.53, 7 Re 2.56-2.61
Cr  0.1640  0.8361  0.7544  1 V 2.53, 7 Re 2.56-2.61
Cr  0.4997  0.4997  0.2448  6 Re 2.55-2.61, 2 V 2.56
Cr  0.5003  0.5003  0.7552  6 Re 2.55-2.61, 2 V 2.56
Cr  0.8360  0.1639  0.2456  1 V 2.53, 7 Re 2.56-2.61
Cr  0.8361  0.1640  0.7544  1 V 2.53, 7 Re 2.56-2.61
Re  0.0000  0.0000  0.5000  8 Cr 2.56-2.60
Re  0.3319  0.6681  0.5000  8 Cr 2.59-2.61
Re  0.3340  0.6660  0.0000  8 Cr 2.55-2.60
Re  0.6660  0.3340  0.0000  8 Cr 2.55-2.60
Re  0.6681  0.3319  0.5000  8 Cr 2.59-2.61